TlSiHg2S4 | GGA-PBE | relaxed

## Properties
As for the spin magnetization: 0.0 μB/cell. The value obtained for the uncorrected formation energy is -0.308 eV/atom. The value obtained for the calculated density is 6.2 g/cm3. Its uncorrected energy is -3.42 eV/atom.

Unit cell a=9.794 b=10.044 c=8.287 alpha=90.00 beta=90.00 gamma=90.00
Space group Fmm2 (No. 42)
Unique sites:
Tl 0.000 0.000 0.000
Si 0.000 0.000 0.496
Hg 0.250 0.250 0.211
S 0.000 0.181 0.363
S 0.183 0.000 0.645